(1)
VASP calculation (PBE-GGA) on a relaxed LiCdSn2H crystal.

Summary:
Crystal system   tetragonal
Calculated volume   98 Å³/cell
Total DFT energy (no corrections)   -2.79 eV/atom

Lattice parameters (Å, degrees): 4.776 4.776 4.276 90.00 90.00 90.00
Space group P4/mmm (No. 123)
Asymmetric unit:
Li 0.000 0.000 0.000 [1 per cell]
Cd 0.500 0.500 0.000 [1 per cell]
Sn 0.000 0.500 0.500 [2 per cell]
H 0.000 0.000 0.500 [1 per cell]

(2)
VASP calculation (PBE-GGA) on a relaxed Sr2LiCdH crystal.

Summary:
Crystal system   tetragonal
Relative energy among the computed polymorphs   0 meV/atom
Calculated volume   129 Å³/cell

Lattice parameters (Å, degrees): 5.515 5.515 4.250 90.00 90.00 90.00
Space group P4/mmm (No. 123)
Asymmetric unit:
Sr 0.000 0.500 0.000 [2 per cell]
Li 0.000 0.000 0.500 [1 per cell]
Cd 0.500 0.500 0.500 [1 per cell]
H 0.000 0.000 0.000 [1 per cell]

(3)
VASP calculation (PBE-GGA) on a relaxed Sr2LiCdH crystal.

Summary:
Crystal system   tetragonal
Relative energy among the computed polymorphs   135 meV/atom
Calculated volume   134 Å³/cell

Lattice parameters (Å, degrees): 5.391 5.391 4.623 90.00 90.00 90.00
Space group P4/mmm (No. 123)
Asymmetric unit:
Sr 0.000 0.500 0.000 [2 per cell]
Li 0.000 0.000 0.500 [1 per cell]
Cd 0.500 0.500 0.500 [1 per cell]
H 0.500 0.500 0.000 [1 per cell]

Which of these has the highest calculated volume?
number 3

Which of these has the lowest calculated volume?
LiCdSn2H

Among the records above, which one has the highest calculated volume?
number 3